The following is a DFT calculation (PBE) of a geometry-optimized Th3Cd8Ag3 structure.

- VASP energy: -2.8316 eV per atom
- Formation enthalpy at 0 K: -107.7 meV/atom

Unit cell a=4.936 b=8.743 c=8.743 alpha=69.88 beta=73.60 gamma=73.60
Element x y z (fractional)
Th1 0.500 0.500 0.500
Th2 0.214 0.786 0.786
Th3 0.786 0.214 0.214
Cd1 0.145 0.215 0.495
Cd2 0.639 0.074 0.649
Cd3 0.639 0.649 0.074
Cd4 0.361 0.926 0.351
Cd5 0.361 0.351 0.926
Cd6 0.855 0.505 0.785
Cd7 0.145 0.495 0.215
Cd8 0.855 0.785 0.505
Ag1 0.500 0.000 0.000
Ag2 0.000 0.848 0.152
Ag3 0.000 0.152 0.848

---

The following is a DFT calculation (PBE) of a geometry-optimized HfNiPd structure.

- VASP energy: -7.4012 eV per atom
- Formation enthalpy at 0 K: -425.4 meV/atom

Unit cell a=4.696 b=5.268 c=5.268 alpha=96.00 beta=63.53 gamma=63.53
Element x y z (fractional)
Hf1 0.000 0.804 0.196
Hf2 0.000 0.196 0.804
Ni1 0.260 0.240 0.240
Ni2 0.740 0.760 0.760
Pd1 0.500 0.339 0.661
Pd2 0.500 0.661 0.339

---

The following is a DFT calculation (PBE) of a geometry-optimized Os2PbCCl structure.

- Energy relative to the elements, uncorrected: 0.841 eV per atom
- VASP energy: -6.6063 eV per atom

Unit cell a=3.972 b=6.258 c=3.972 alpha=90.00 beta=90.00 gamma=90.00
Element x y z (fractional)
Cl1 0.500 0.500 0.500
Pb1 0.000 0.500 0.000
Os1 0.500 0.000 0.000
Os2 0.000 0.000 0.500
C1 0.000 0.000 0.000

---

The following is a DFT calculation (PBE) of a geometry-optimized DyHo2ScS6 structure.

- Energy relative to the elements, uncorrected: -2.008 eV per atom
- VASP energy: -6.4935 eV per atom

Unit cell a=6.788 b=6.788 c=7.232 alpha=62.01 beta=62.01 gamma=59.99
Element x y z (fractional)
S1 0.936 0.598 0.251
S2 0.598 0.216 0.251
S3 0.117 0.417 0.758
S4 0.417 0.708 0.758
S5 0.216 0.936 0.251
S6 0.708 0.117 0.758
Sc1 0.320 0.320 0.040
Ho1 0.016 0.016 0.952
Ho2 0.519 0.519 0.444
Dy1 0.816 0.816 0.552

---

The following is a DFT calculation (PBE) of a geometry-optimized CsTc2TeC structure.

- Energy relative to the elements, uncorrected: 3.905 eV per atom
- VASP energy: -2.8850 eV per atom

Unit cell a=5.055 b=5.055 c=6.890 alpha=90.00 beta=90.00 gamma=90.00
Last column: magnetic moment on the atom in μB.
Element x y z (fractional)
Tc1 0.000 0.500 0.000  2.28
Tc2 0.500 0.000 0.000  2.28
Cs1 0.000 0.000 0.000  0.00
C1 0.500 0.500 0.500  0.84
Te1 0.000 0.000 0.500  -0.40

---

The following is a DFT calculation (PBE) of a geometry-optimized TbPm2Co2 structure.

- Distance to the lowest polymorph of the same formula: 0.0 meV/atom
- VASP energy: -5.7380 eV per atom
- Formation enthalpy at 0 K: -69.3 meV/atom

Unit cell a=3.880 b=6.586 c=9.743 alpha=83.14 beta=78.52 gamma=72.87
Element x y z (fractional)
Pm1 0.664 0.744 0.927
Pm2 0.336 0.256 0.073
Pm3 0.534 0.626 0.306
Pm4 0.466 0.374 0.694
Tb1 0.784 0.071 0.362
Tb2 0.216 0.929 0.638
Co1 0.990 0.125 0.895
Co2 0.010 0.875 0.105
Co3 0.896 0.666 0.542
Co4 0.104 0.334 0.458

---

The following is a DFT calculation (PBE) of a geometry-optimized Zr2Co3Si4 structure.

- Energy relative to the elements, uncorrected: -0.794 eV per atom
- VASP energy: -7.4723 eV per atom

Unit cell a=5.217 b=6.804 c=7.364 alpha=90.00 beta=110.74 gamma=90.00
Element x y z (fractional)
Co1 0.520 0.750 0.541
Co2 0.000 0.000 0.000
Co3 0.500 0.500 0.000
Co4 0.020 0.750 0.541
Co5 0.480 0.250 0.459
Co6 0.980 0.250 0.459
Zr1 0.106 0.599 0.211
Zr2 0.894 0.401 0.789
Zr3 0.394 0.099 0.789
Zr4 0.606 0.901 0.211
Si1 0.181 0.979 0.362
Si2 0.681 0.521 0.362
Si3 0.188 0.750 0.876
Si4 0.312 0.250 0.124
Si5 0.319 0.479 0.638
Si6 0.688 0.750 0.876
Si7 0.812 0.250 0.124
Si8 0.819 0.021 0.638

---

The following is a DFT calculation (PBE) of a geometry-optimized LiCuPO4 structure.

- Energy relative to the elements, uncorrected: -1.769 eV per atom
- Distance to the lowest polymorph of the same formula: 37.0 meV/atom
- VASP energy: -6.2338 eV per atom

Unit cell a=4.832 b=6.174 c=10.374 alpha=90.00 beta=90.00 gamma=90.00
Last column: magnetic moment on the atom in μB.
Element x y z (fractional)
O1 0.244 0.042 0.844  0.08
O2 0.739 0.750 0.954  0.16
O3 0.695 0.250 0.893  0.03
O4 0.261 0.250 0.046  0.16
O5 0.805 0.250 0.393  0.03
O6 0.756 0.958 0.156  0.08
O7 0.756 0.542 0.156  0.08
O8 0.761 0.750 0.454  0.16
O9 0.744 0.958 0.656  0.08
O10 0.244 0.458 0.844  0.08
O11 0.195 0.750 0.607  0.03
O12 0.744 0.542 0.656  0.08
O13 0.256 0.458 0.344  0.08
O14 0.305 0.750 0.107  0.03
O15 0.256 0.042 0.344  0.08
O16 0.239 0.250 0.546  0.16
Li1 0.432 0.750 0.778  0.00
Li2 0.932 0.250 0.722  0.00
Li3 0.068 0.750 0.278  0.00
Li4 0.568 0.250 0.222  0.00
P1 0.617 0.750 0.099  -0.01
P2 0.117 0.250 0.401  -0.01
P3 0.383 0.250 0.901  -0.01
P4 0.883 0.750 0.599  -0.01
Cu1 0.000 0.500 0.000  0.57
Cu2 0.500 0.000 0.500  0.57
Cu3 0.500 0.500 0.500  0.57
Cu4 0.000 0.000 0.000  0.57